[1]
## Cs2NbS4 (PBE)

Data for a relaxed structure of Cs2NbS4.

a b c (Å): 9.133 9.133 9.133
angles (deg): 60.00 60.00 60.00
Atoms (fractional coordinates):
Cs1 0.375 0.375 0.375
Cs2 0.875 0.375 0.375
Cs3 0.375 0.875 0.375
Cs4 0.375 0.375 0.875
Nb1 0.000 0.000 0.000
Nb2 0.750 0.750 0.750
S1 0.648 0.648 0.057
S2 0.102 0.102 0.102
S3 0.693 0.102 0.102
S4 0.102 0.693 0.102
S5 0.648 0.057 0.648
S6 0.648 0.648 0.648
S7 0.057 0.648 0.648
S8 0.102 0.102 0.693

Spin magnetization, μB per formula unit: 0.999
Crystal system: cubic
E_tot, eV per atom: -4.92

***

[2]
## CsNbS3 (PBE)

Data for a relaxed structure of CsNbS3.

a b c (Å): 6.990 6.589 7.594
angles (deg): 90.00 110.01 90.00
Atoms (fractional coordinates):
Cs1 0.703 0.250 0.326
Cs2 0.297 0.750 0.674
Nb1 0.930 0.750 0.041
Nb2 0.070 0.250 0.959
S1 0.663 0.750 0.135
S2 0.151 0.009 0.225
S3 0.151 0.491 0.225
S4 0.849 0.509 0.775
S5 0.849 0.991 0.775
S6 0.337 0.250 0.865

Spin magnetization, μB per formula unit: 0.000
Crystal system: monoclinic
E_tot, eV per atom: -5.77

***

[3]
## Cs2NbSe2S (PBE)

Data for a relaxed structure of Cs2NbSe2S.

a b c (Å): 7.550 8.199 9.156
angles (deg): 75.28 68.14 66.58
Atoms (fractional coordinates):
Cs1 0.084 0.189 0.154
Cs2 0.334 0.574 0.308
Cs3 0.666 0.426 0.692
Cs4 0.916 0.811 0.846
Nb1 0.615 0.950 0.339
Nb2 0.385 0.050 0.661
S1 0.277 0.961 0.488
S2 0.723 0.039 0.512
Se1 0.612 0.170 0.105
Se2 0.820 0.645 0.282
Se3 0.180 0.355 0.718
Se4 0.388 0.830 0.895

Spin magnetization, μB per formula unit: 0.001
Crystal system: triclinic
E_tot, eV per atom: -4.99

***

[4]
## Cs2NbSnS6 (PBE)

Data for a relaxed structure of Cs2NbSnS6.

a b c (Å): 7.164 7.164 7.164
angles (deg): 120.00 120.00 60.00
Atoms (fractional coordinates):
Cs1 0.750 0.750 0.250
Cs2 0.250 0.250 0.750
Nb1 0.000 0.000 0.000
S1 0.243 0.757 0.243
S2 0.243 0.243 0.243
S3 0.757 0.243 0.243
S4 0.757 0.243 0.757
S5 0.757 0.757 0.757
S6 0.243 0.757 0.757
Sn1 0.500 0.500 0.500

Spin magnetization, μB per formula unit: 0.003
Crystal system: cubic
E_tot, eV per atom: -4.65

***

[5]
## Cs3NbTeS3 (PBE)

Data for a relaxed structure of Cs3NbTeS3.

a b c (Å): 7.476 7.476 7.476
angles (deg): 108.21 108.21 108.21
Atoms (fractional coordinates):
Cs1 0.513 0.513 0.059
Cs2 0.513 0.059 0.513
Cs3 0.059 0.513 0.513
Nb1 0.993 0.993 0.993
S1 0.988 0.988 0.295
S2 0.988 0.295 0.988
S3 0.295 0.988 0.988
Te1 0.651 0.651 0.651

Spin magnetization, μB per formula unit: 0.001
Crystal system: trigonal
E_tot, eV per atom: -4.66

***

[6]
## Cs3NbTe2S2 (PBE)

Data for a relaxed structure of Cs3NbTe2S2.

a b c (Å): 7.932 7.570 8.846
angles (deg): 57.16 53.30 69.54
Atoms (fractional coordinates):
Cs1 0.426 0.426 0.074
Cs2 0.543 0.543 0.457
Cs3 0.926 0.926 0.574
Nb1 0.014 0.014 0.986
S1 0.717 0.021 0.283
S2 0.021 0.717 0.979
Te1 0.003 0.348 0.652
Te2 0.348 0.003 0.997

Spin magnetization, μB per formula unit: 0.001
Crystal system: orthorhombic
E_tot, eV per atom: -4.45

***

[7]
## Cs2NbTeS6 (PBE)

Data for a relaxed structure of Cs2NbTeS6.

a b c (Å): 12.898 12.898 12.898
angles (deg): 33.47 33.47 33.47
Atoms (fractional coordinates):
Cs1 0.124 0.124 0.124
Cs2 0.291 0.291 0.291
Cs3 0.709 0.709 0.709
Cs4 0.876 0.876 0.876
Nb1 0.000 0.000 0.000
Nb2 0.500 0.500 0.500
S1 0.610 0.610 0.154
S2 0.729 0.194 0.194
S3 0.194 0.729 0.194
S4 0.806 0.806 0.271
S5 0.846 0.390 0.390
S6 0.390 0.846 0.390
S7 0.610 0.154 0.610
S8 0.154 0.610 0.610
S9 0.194 0.194 0.729
S10 0.271 0.806 0.806
S11 0.806 0.271 0.806
S12 0.390 0.390 0.846
Te1 0.413 0.413 0.413
Te2 0.587 0.587 0.587

Spin magnetization, μB per formula unit: 0.939
Crystal system: trigonal
E_tot, eV per atom: -4.57

***

[8]
## Cs2NbTlS4 (PBE)

Data for a relaxed structure of Cs2NbTlS4.

a b c (Å): 7.147 7.147 7.147
angles (deg): 107.11 107.11 114.30
Atoms (fractional coordinates):
Cs1 0.500 0.000 0.500
Cs2 0.000 0.500 0.500
Nb1 0.000 0.000 0.000
S1 0.333 0.027 0.000
S2 0.027 0.333 0.000
S3 0.973 0.973 0.305
S4 0.667 0.667 0.695
Tl1 0.500 0.500 0.000

Spin magnetization, μB per formula unit: 0.002
Crystal system: tetragonal
E_tot, eV per atom: -4.88